A plane-wave DFT calculation with PBE was carried out for Pm8Ru2Au after structural relaxation.

The structure in POSCAR format:
```
Pm8Ru2Au
1.0
4.297 -6.599 0.000
4.297 6.599 0.000
-1.738 0.000 5.616
Pm Ru Au
8 2 1
Direct
0.078 0.334 0.580
0.233 0.767 0.000
0.334 0.078 0.580
0.379 0.379 0.193
0.621 0.621 0.807
0.666 0.922 0.420
0.767 0.233 0.000
0.922 0.666 0.420
0.300 0.700 0.500
0.700 0.300 0.500
0.000 0.000 0.000
```

**Symmetry**: C2/m, No. 12
**Total DFT energy (no corrections)**: -5.623 eV per atom
**Formation energy from the elements**: -0.18 eV per atom
**Crystal system**: monoclinic

---

A plane-wave DFT calculation with PBE was carried out for Pm12RuAu6 after structural relaxation.

The structure in POSCAR format:
```
Pm12RuAu6
1.0
6.436 3.716 4.170
-6.436 3.716 4.170
0.000 -7.432 4.170
Pm Ru Au
12 1 6
Direct
0.029 0.682 0.936
0.064 0.971 0.318
0.185 0.426 0.576
0.318 0.064 0.971
0.424 0.815 0.574
0.426 0.576 0.185
0.574 0.424 0.815
0.576 0.185 0.426
0.682 0.936 0.029
0.815 0.574 0.424
0.936 0.029 0.682
0.971 0.318 0.064
0.000 0.000 0.000
0.129 0.629 0.307
0.307 0.129 0.629
0.371 0.693 0.871
0.629 0.307 0.129
0.693 0.871 0.371
0.871 0.371 0.693
```

**Symmetry**: R-3, No. 148
**Total DFT energy (no corrections)**: -4.951 eV per atom
**Formation energy from the elements**: -0.43 eV per atom
**Crystal system**: trigonal

---

A plane-wave DFT calculation with PBE was carried out for Pm4RuAu after structural relaxation.

The structure in POSCAR format:
```
Pm4RuAu
1.0
3.523 -3.523 0.000
3.523 3.523 0.000
-0.015 0.000 7.140
Pm Ru Au
4 1 1
Direct
0.001 0.500 0.763
0.500 0.001 0.763
0.500 0.999 0.237
0.999 0.500 0.237
0.000 0.000 0.000
0.500 0.500 0.500
```

**Symmetry**: C2/m, No. 12
**Polymorph energy (0 for the lowest one)**: 0.095 eV per atom
**Total DFT energy (no corrections)**: -5.555 eV per atom
**Formation energy from the elements**: -0.30 eV per atom
**Crystal system**: monoclinic